Entry 1:
A relaxed structure of SmTe2Ir, computed with PBE.

Unit cell a=9.2761 b=9.2761 c=9.2761 alpha=24.91 beta=24.91 gamma=24.91
Closest atoms and distances in Å follow each position.
Fractional coordinates of all 4 atoms:
Sm: 0.0000 0.0000 0.0000  2 Te 3.14
Te: 0.1164 0.1164 0.1164  3 Ir 2.68
Te: 0.8836 0.8836 0.8836  3 Ir 2.68
Ir: 0.5000 0.5000 0.5000  6 Te 2.68

Properties
ρ = 8.0 g cm⁻³
Size of the total moment = 0.00 μB per formula unit
Final energy = -20.685 eV per cell

---

Entry 2:
A relaxed structure of SmTeIr, computed with PBE.

Unit cell a=4.7172 b=4.7172 c=7.6932 alpha=90.00 beta=90.00 gamma=120.00
Closest atoms and distances in Å follow each position.
Fractional coordinates of all 6 atoms:
Sm: 0.0000 0.0000 0.0000  4 Ir 2.94-3.03, 3 Te 3.16
Sm: 0.3333 0.6667 0.7472  3 Ir 2.93, 3 Te 3.24
Te: 0.3333 0.6667 0.2095  3 Ir 2.77
Te: 0.6667 0.3333 0.5194  4 Ir 2.80-2.90
Ir: 0.0000 0.0000 0.6065  3 Te 2.80, 4 Sm 2.93-3.03
Ir: 0.6667 0.3333 0.1427  4 Te 2.77-2.90, 3 Sm 2.94

Properties
ρ = 10.5 g cm⁻³
Size of the total moment = 0.00 μB per formula unit
Final energy = -36.449 eV per cell

---

Entry 3:
A relaxed structure of SmTh2Ir9, computed with PBE.

Unit cell a=9.4339 b=9.4339 c=9.4339 alpha=33.02 beta=33.02 gamma=33.02
Closest atoms and distances in Å follow each position.
Fractional coordinates of all 12 atoms:
Sm: 0.0000 0.0000 0.0000  18 Ir 3.10-3.45
Th: 0.1380 0.1380 0.1380  12 Ir 3.08-3.42
Th: 0.8620 0.8620 0.8620  12 Ir 3.08-3.42
Ir: 0.0814 0.5812 0.5812  7 Ir 2.65-2.76
Ir: 0.3327 0.3327 0.3327  6 Ir 2.65-2.68
Ir: 0.4188 0.4188 0.9186  7 Ir 2.65-2.76
Ir: 0.4188 0.9186 0.4188  7 Ir 2.65-2.76
Ir: 0.5000 0.5000 0.5000  6 Ir 2.76
Ir: 0.5812 0.0814 0.5812  7 Ir 2.65-2.76
Ir: 0.5812 0.5812 0.0814  7 Ir 2.65-2.76
Ir: 0.6673 0.6673 0.6673  6 Ir 2.65-2.68
Ir: 0.9186 0.4188 0.4188  7 Ir 2.65-2.76

Properties
ρ = 17.5 g cm⁻³
Size of the total moment = 0.00 μB per formula unit
Formation energy from the elements = -623 meV/atom

---

Entry 4:
A relaxed structure of Sm5Th3Ir12, computed with PBE.

Unit cell a=14.1728 b=14.1728 c=14.1728 alpha=109.47 beta=109.47 gamma=109.47
Closest atoms and distances in Å follow each position.
Fractional coordinates of all 80 atoms:
Sm: 0.0000 0.0000 0.0000  6 Ir 2.78
Sm: 0.0000 0.0000 0.5000  6 Ir 2.78
Sm: 0.0000 0.5000 0.0000  6 Ir 2.78
Sm: 0.0000 0.5000 0.5000  6 Ir 2.78
Sm: 0.1250 0.7500 0.8750  4 Ir 2.97
Sm: 0.1250 0.8750 0.2500  4 Ir 2.97
Sm: 0.2500 0.1250 0.8750  4 Ir 2.97
Sm: 0.2500 0.6250 0.3750  4 Ir 2.97
Sm: 0.3750 0.2500 0.6250  4 Ir 2.97
Sm: 0.3750 0.6250 0.7500  4 Ir 2.97
Sm: 0.5000 0.0000 0.0000  6 Ir 2.78
Sm: 0.5000 0.0000 0.5000  6 Ir 2.78
Sm: 0.5000 0.5000 0.0000  6 Ir 2.78
Sm: 0.5000 0.5000 0.5000  6 Ir 2.78
Sm: 0.6250 0.3750 0.2500  4 Ir 2.97
Sm: 0.6250 0.7500 0.3750  4 Ir 2.97
Sm: 0.7500 0.3750 0.6250  4 Ir 2.97
Sm: 0.7500 0.8750 0.1250  4 Ir 2.97
Sm: 0.8750 0.1250 0.7500  4 Ir 2.97
Sm: 0.8750 0.2500 0.1250  4 Ir 2.97
Th: 0.1250 0.2500 0.3750  8 Ir 2.84-2.85
Th: 0.1250 0.3750 0.7500  8 Ir 2.84-2.85
Th: 0.2500 0.3750 0.1250  8 Ir 2.84-2.85
Th: 0.2500 0.8750 0.6250  8 Ir 2.84-2.85
Th: 0.3750 0.1250 0.2500  8 Ir 2.84-2.85
Th: 0.3750 0.7500 0.1250  8 Ir 2.84-2.85
Th: 0.6250 0.2500 0.8750  8 Ir 2.84-2.85
Th: 0.6250 0.8750 0.7500  8 Ir 2.84-2.85
Th: 0.7500 0.1250 0.3750  8 Ir 2.84-2.85
Th: 0.7500 0.6250 0.8750  8 Ir 2.84-2.85
Th: 0.8750 0.6250 0.2500  8 Ir 2.84-2.85
Th: 0.8750 0.7500 0.6250  8 Ir 2.84-2.85
Ir: 0.0722 0.7288 0.6453  3 Ir 2.66-2.91, 2 Sm 2.78-2.97, 2 Th 2.84-2.85
Ir: 0.0722 0.8434 0.4269  3 Ir 2.66-2.91, 2 Sm 2.78-2.97, 2 Th 2.84-2.85
Ir: 0.0731 0.6566 0.4278  3 Ir 2.66-2.91, 2 Sm 2.78-2.97, 2 Th 2.84-2.85
Ir: 0.0731 0.9165 0.6453  3 Ir 2.66-2.91, 2 Sm 2.78-2.97, 2 Th 2.84-2.85
Ir: 0.0835 0.2288 0.1566  3 Ir 2.66-2.91, 2 Sm 2.78-2.97, 2 Th 2.84-2.85
Ir: 0.0835 0.3547 0.9269  3 Ir 2.66-2.91, 2 Sm 2.78-2.97, 2 Th 2.84-2.85
Ir: 0.1453 0.2288 0.5722  3 Ir 2.66-2.91, 2 Sm 2.78-2.97, 2 Th 2.84-2.85
Ir: 0.1453 0.4165 0.5731  3 Ir 2.66-2.91, 2 Sm 2.78-2.97, 2 Th 2.84-2.85
Ir: 0.1566 0.0835 0.2288  3 Ir 2.66-2.91, 2 Sm 2.78-2.97, 2 Th 2.84-2.85
Ir: 0.1566 0.5731 0.9278  3 Ir 2.66-2.91, 2 Sm 2.78-2.97, 2 Th 2.84-2.85
Ir: 0.2288 0.1566 0.0835  3 Ir 2.66-2.91, 2 Sm 2.78-2.97, 2 Th 2.84-2.85
Ir: 0.2288 0.5722 0.1453  3 Ir 2.66-2.91, 2 Sm 2.78-2.97, 2 Th 2.84-2.85
Ir: 0.2712 0.3547 0.9278  3 Ir 2.66-2.91, 2 Sm 2.78-2.97, 2 Th 2.84-2.85
Ir: 0.2712 0.4165 0.3434  3 Ir 2.66-2.91, 2 Sm 2.78-2.97, 2 Th 2.84-2.85
Ir: 0.3434 0.2712 0.4165  3 Ir 2.66-2.91, 2 Sm 2.78-2.97, 2 Th 2.84-2.85
Ir: 0.3434 0.5722 0.9269  3 Ir 2.66-2.91, 2 Sm 2.78-2.97, 2 Th 2.84-2.85
Ir: 0.3547 0.9269 0.0835  3 Ir 2.66-2.91, 2 Sm 2.78-2.97, 2 Th 2.84-2.85
Ir: 0.3547 0.9278 0.2712  3 Ir 2.66-2.91, 2 Sm 2.78-2.97, 2 Th 2.84-2.85
Ir: 0.4165 0.3434 0.2712  3 Ir 2.66-2.91, 2 Sm 2.78-2.97, 2 Th 2.84-2.85
Ir: 0.4165 0.5731 0.1453  3 Ir 2.66-2.91, 2 Sm 2.78-2.97, 2 Th 2.84-2.85
Ir: 0.4269 0.0722 0.8434  3 Ir 2.66-2.91, 2 Sm 2.78-2.97, 2 Th 2.84-2.85
Ir: 0.4269 0.8547 0.5835  3 Ir 2.66-2.91, 2 Sm 2.78-2.97, 2 Th 2.84-2.85
Ir: 0.4278 0.0731 0.6566  3 Ir 2.66-2.91, 2 Sm 2.78-2.97, 2 Th 2.84-2.85
Ir: 0.4278 0.8547 0.7712  3 Ir 2.66-2.91, 2 Sm 2.78-2.97, 2 Th 2.84-2.85
Ir: 0.5722 0.1453 0.2288  3 Ir 2.66-2.91, 2 Sm 2.78-2.97, 2 Th 2.84-2.85
Ir: 0.5722 0.9269 0.3434  3 Ir 2.66-2.91, 2 Sm 2.78-2.97, 2 Th 2.84-2.85
Ir: 0.5731 0.1453 0.4165  3 Ir 2.66-2.91, 2 Sm 2.78-2.97, 2 Th 2.84-2.85
Ir: 0.5731 0.9278 0.1566  3 Ir 2.66-2.91, 2 Sm 2.78-2.97, 2 Th 2.84-2.85
Ir: 0.5835 0.4269 0.8547  3 Ir 2.66-2.91, 2 Sm 2.78-2.97, 2 Th 2.84-2.85
Ir: 0.5835 0.6566 0.7288  3 Ir 2.66-2.91, 2 Sm 2.78-2.97, 2 Th 2.84-2.85
Ir: 0.6453 0.0722 0.7288  3 Ir 2.66-2.91, 2 Sm 2.78-2.97, 2 Th 2.84-2.85
Ir: 0.6453 0.0731 0.9165  3 Ir 2.66-2.91, 2 Sm 2.78-2.97, 2 Th 2.84-2.85
Ir: 0.6566 0.4278 0.0731  3 Ir 2.66-2.91, 2 Sm 2.78-2.97, 2 Th 2.84-2.85
Ir: 0.6566 0.7288 0.5835  3 Ir 2.66-2.91, 2 Sm 2.78-2.97, 2 Th 2.84-2.85
Ir: 0.7288 0.5835 0.6566  3 Ir 2.66-2.91, 2 Sm 2.78-2.97, 2 Th 2.84-2.85
Ir: 0.7288 0.6453 0.0722  3 Ir 2.66-2.91, 2 Sm 2.78-2.97, 2 Th 2.84-2.85
Ir: 0.7712 0.4278 0.8547  3 Ir 2.66-2.91, 2 Sm 2.78-2.97, 2 Th 2.84-2.85
Ir: 0.7712 0.8434 0.9165  3 Ir 2.66-2.91, 2 Sm 2.78-2.97, 2 Th 2.84-2.85
Ir: 0.8434 0.4269 0.0722  3 Ir 2.66-2.91, 2 Sm 2.78-2.97, 2 Th 2.84-2.85
Ir: 0.8434 0.9165 0.7712  3 Ir 2.66-2.91, 2 Sm 2.78-2.97, 2 Th 2.84-2.85
Ir: 0.8547 0.5835 0.4269  3 Ir 2.66-2.91, 2 Sm 2.78-2.97, 2 Th 2.84-2.85
Ir: 0.8547 0.7712 0.4278  3 Ir 2.66-2.91, 2 Sm 2.78-2.97, 2 Th 2.84-2.85
Ir: 0.9165 0.6453 0.0731  3 Ir 2.66-2.91, 2 Sm 2.78-2.97, 2 Th 2.84-2.85
Ir: 0.9165 0.7712 0.8434  3 Ir 2.66-2.91, 2 Sm 2.78-2.97, 2 Th 2.84-2.85
Ir: 0.9269 0.0835 0.3547  3 Ir 2.66-2.91, 2 Sm 2.78-2.97, 2 Th 2.84-2.85
Ir: 0.9269 0.3434 0.5722  3 Ir 2.66-2.91, 2 Sm 2.78-2.97, 2 Th 2.84-2.85
Ir: 0.9278 0.1566 0.5731  3 Ir 2.66-2.91, 2 Sm 2.78-2.97, 2 Th 2.84-2.85
Ir: 0.9278 0.2712 0.3547  3 Ir 2.66-2.91, 2 Sm 2.78-2.97, 2 Th 2.84-2.85

Properties
ρ = 11.4 g cm⁻³
Size of the total moment = 0.00 μB per formula unit
Formation energy from the elements = 188 meV/atom

---

Entry 5:
A relaxed structure of SmThIr, computed with PBE.

Unit cell a=4.9463 b=4.9463 c=4.9463 alpha=60.00 beta=60.00 gamma=60.00
Closest atoms and distances in Å follow each position.
Fractional coordinates of all 3 atoms:
Sm: 0.0000 0.0000 0.0000  4 Ir 3.03
Th: 0.5000 0.5000 0.5000  4 Ir 3.03
Ir: 0.2500 0.2500 0.2500  4 Th 3.03, 4 Sm 3.03

Properties
ρ = 11.2 g cm⁻³
Relative energy among the computed polymorphs = 3.22 kcal/mol of atoms
Size of the total moment = 0.00 μB per formula unit
Formation energy from the elements = -514 meV/atom

---

Entry 6:
A relaxed structure of SmThIr, computed with PBE.

Unit cell a=6.3662 b=7.3918 c=7.2109 alpha=90.00 beta=90.47 gamma=90.00
Closest atoms and distances in Å follow each position.
Fractional coordinates of all 12 atoms:
Sm: 0.1057 0.1034 0.2523  2 Ir 2.91-2.92
Sm: 0.1057 0.3966 0.7523  2 Ir 2.91-2.92
Sm: 0.8943 0.6034 0.2477  2 Ir 2.91-2.92
Sm: 0.8943 0.8966 0.7477  2 Ir 2.91-2.92
Th: 0.4215 0.7494 0.4997  4 Ir 2.87-2.92
Th: 0.4215 0.7506 0.9997  4 Ir 2.87-2.92
Th: 0.5785 0.2494 0.0003  4 Ir 2.87-2.92
Th: 0.5785 0.2506 0.5003  4 Ir 2.87-2.92
Ir: 0.3179 0.0459 0.7470  4 Th 2.87-2.92, 2 Sm 2.91-2.92
Ir: 0.3179 0.4541 0.2470  4 Th 2.87-2.92, 2 Sm 2.91-2.92
Ir: 0.6821 0.5459 0.7530  4 Th 2.87-2.92, 2 Sm 2.91-2.92
Ir: 0.6821 0.9541 0.2530  4 Th 2.87-2.92, 2 Sm 2.91-2.92

Properties
ρ = 11.2 g cm⁻³
Relative energy among the computed polymorphs = 0.00 kcal/mol of atoms
Size of the total moment = 0.00 μB per formula unit
Formation energy from the elements = -654 meV/atom

---

Entry 7:
A relaxed structure of Sm2Th3Ir2, computed with PBE.

Unit cell a=6.2715 b=6.2715 c=9.0789 alpha=109.44 beta=109.44 gamma=36.18
Closest atoms and distances in Å follow each position.
Fractional coordinates of all 7 atoms:
Sm: 0.1615 0.1615 0.2974  2 Ir 3.08
Sm: 0.8385 0.8385 0.7026  2 Ir 3.08
Th: 0.3777 0.3777 0.0642  2 Ir 2.87
Th: 0.5000 0.5000 0.5000  4 Ir 2.85
Th: 0.6223 0.6223 0.9358  2 Ir 2.87
Ir: 0.1414 0.1414 0.7134  4 Th 2.85-2.87, 2 Sm 3.08
Ir: 0.8586 0.8586 0.2866  4 Th 2.85-2.87, 2 Sm 3.08

Properties
ρ = 11.6 g cm⁻³
Size of the total moment = 0.00 μB per formula unit
Formation energy from the elements = -565 meV/atom

---

Entry 8:
A relaxed structure of Sm2ThIr, computed with PBE.

Unit cell a=7.2007 b=9.8935 c=6.5598 alpha=90.00 beta=90.00 gamma=90.00
Closest atoms and distances in Å follow each position.
Fractional coordinates of all 16 atoms:
Sm: 0.1773 0.0652 0.1682  2 Ir 2.97
Sm: 0.1773 0.4348 0.1682  2 Ir 2.97
Sm: 0.3227 0.5652 0.6682  2 Ir 2.97
Sm: 0.3227 0.9348 0.6682  2 Ir 2.97
Sm: 0.6773 0.0652 0.3318  2 Ir 2.97
Sm: 0.6773 0.4348 0.3318  2 Ir 2.97
Sm: 0.8227 0.5652 0.8318  2 Ir 2.97
Sm: 0.8227 0.9348 0.8318  2 Ir 2.97
Th: 0.0405 0.2500 0.6588  2 Ir 2.74-2.81
Th: 0.4595 0.7500 0.1588  2 Ir 2.74-2.81
Th: 0.5405 0.2500 0.8412  2 Ir 2.74-2.81
Th: 0.9595 0.7500 0.3412  2 Ir 2.74-2.81
Ir: 0.1278 0.7500 0.9546  2 Th 2.74-2.81, 4 Sm 2.97
Ir: 0.3722 0.2500 0.4546  2 Th 2.74-2.81, 4 Sm 2.97
Ir: 0.6278 0.7500 0.5454  2 Th 2.74-2.81, 4 Sm 2.97
Ir: 0.8722 0.2500 0.0454  2 Th 2.74-2.81, 4 Sm 2.97

Properties
ρ = 10.3 g cm⁻³
Relative energy among the computed polymorphs = 0.00 kcal/mol of atoms
Size of the total moment = 0.00 μB per formula unit
Formation energy from the elements = -504 meV/atom